Record 1
Compound: PrMg12Ni5
Source: the Alexandria database
Functional: PBE-GGA
Structure: relaxed

space group: Immm, No. 71
M_tot: 0.0 μB/f.u.
formation energy from the elements: -0.081 eV/atom
V: 19.199 Å³ per atom
theoretical density: 3.49 Mg/m³

Unit cell a=7.716 b=7.716 c=7.716 alpha=99.85 beta=112.04 gamma=116.98
Atoms (fractional coordinates):
Pr 0.000 0.500 0.500
Mg 0.555 0.822 0.733
Mg 0.445 0.178 0.267
Mg 0.912 0.178 0.733
Mg 0.088 0.822 0.267
Mg 0.690 0.683 0.372
Mg 0.310 0.317 0.628
Mg 0.310 0.683 0.993
Mg 0.690 0.317 0.007
Mg 0.808 0.585 0.776
Mg 0.192 0.415 0.224
Mg 0.192 0.968 0.776
Mg 0.808 0.032 0.224
Ni 0.649 0.649 0.000
Ni 0.351 0.351 0.000
Ni 0.500 0.118 0.618
Ni 0.500 0.882 0.382
Ni 0.000 0.000 0.000

Record 2
Compound: PrMg2Ni
Source: the Alexandria database
Functional: PBE-GGA
Structure: relaxed

space group: P4/mmm, No. 123
M_tot: 0.0 μB/f.u.
formation energy from the elements: -0.051 eV/atom
V: 21.442 Å³ per atom
theoretical density: 4.81 Mg/m³

Unit cell a=3.250 b=3.250 c=8.121 alpha=90.00 beta=90.00 gamma=90.00
Atoms (fractional coordinates):
Pr 0.500 0.500 0.500
Ni 0.500 0.500 0.000
Mg 0.000 0.000 0.823
Mg 0.000 0.000 0.177

Record 3
Compound: Pr12MgNi5
Source: the Alexandria database
Functional: PBE-GGA
Structure: relaxed

space group: Immm, No. 71
M_tot: 0.0 μB/f.u.
formation energy from the elements: -0.176 eV/atom
V: 28.306 Å³ per atom
theoretical density: 6.55 Mg/m³

Unit cell a=8.721 b=8.721 c=8.721 alpha=106.94 beta=112.19 gamma=109.33
Atoms (fractional coordinates):
Pr 0.523 0.822 0.701
Pr 0.477 0.178 0.299
Pr 0.879 0.178 0.701
Pr 0.121 0.822 0.299
Pr 0.692 0.678 0.370
Pr 0.308 0.322 0.630
Pr 0.308 0.678 0.986
Pr 0.692 0.322 0.014
Pr 0.810 0.605 0.795
Pr 0.190 0.395 0.205
Pr 0.190 0.985 0.795
Pr 0.810 0.015 0.205
Mg 0.000 0.500 0.500
Ni 0.630 0.630 0.000
Ni 0.370 0.370 0.000
Ni 0.500 0.123 0.623
Ni 0.500 0.877 0.377
Ni 0.000 0.000 0.000

Record 4
Compound: PrMg3Ni
Source: the Alexandria database
Functional: PBE-GGA
Structure: relaxed

space group: Pm-3m, No. 221
M_tot: 0.0 μB/f.u.
formation energy from the elements: -0.078 eV/atom
V: 23.168 Å³ per atom
theoretical density: 3.91 Mg/m³

Unit cell a=4.875 b=4.875 c=4.875 alpha=90.00 beta=90.00 gamma=90.00
Atoms (fractional coordinates):
Pr 0.500 0.500 0.500
Ni 0.000 0.000 0.000
Mg 0.000 0.500 0.000
Mg 0.000 0.000 0.500
Mg 0.500 0.000 0.000

Record 5
Compound: Pr3MgNi14
Source: the Alexandria database
Functional: PBE-GGA
Structure: relaxed

space group: R3m, No. 160
M_tot: 2.0 μB/f.u.
formation energy from the elements: -0.278 eV/atom
V: 14.439 Å³ per atom
theoretical density: 8.11 Mg/m³

Unit cell a=12.379 b=12.379 c=12.379 alpha=23.27 beta=23.27 gamma=23.27
Atoms (fractional coordinates):
Pr 0.051 0.051 0.051
Pr 0.945 0.945 0.945
Pr 0.151 0.151 0.151
Ni 0.611 0.109 0.611
Ni 0.109 0.611 0.611
Ni 0.611 0.611 0.109
Ni 0.390 0.888 0.390
Ni 0.888 0.390 0.390
Ni 0.390 0.390 0.888
Ni 0.389 0.389 0.389
Ni 0.612 0.612 0.612
Ni 0.278 0.278 0.278
Ni 0.722 0.722 0.722
Ni 0.501 0.501 0.501
Ni 0.000 0.499 0.499
Ni 0.499 0.499 0.000
Ni 0.499 0.000 0.499
Mg 0.853 0.853 0.853

Record 6
Compound: Pr2Mg5Ni4
Source: the Alexandria database
Functional: PBE-GGA
Structure: relaxed

space group: C2/m, No. 12
M_tot: 0.0 μB/f.u.
formation energy from the elements: -0.122 eV/atom
V: 20.244 Å³ per atom
theoretical density: 4.76 Mg/m³

Unit cell a=5.766 b=6.862 c=6.977 alpha=69.32 beta=65.59 gamma=65.16
Atoms (fractional coordinates):
Pr 0.280 0.777 0.663
Pr 0.720 0.223 0.337
Mg 0.220 0.221 0.860
Mg 0.780 0.779 0.140
Mg 0.000 0.500 0.500
Mg 0.698 0.221 0.860
Mg 0.302 0.779 0.140
Ni 0.323 0.093 0.260
Ni 0.677 0.907 0.740
Ni 0.776 0.537 0.911
Ni 0.224 0.463 0.089